# TbGdHgPb PBE optimized geometry
# Fermi-level density of states = 0.882 states/eV per atom
# Spin magnetization = 1.894 μB per atom
# Crystal system = cubic
# Mass density = 10.936 Mg/m³
# VASP energy = -6.1633 eV/atom
data_TbGdHgPb
_cell_length_a 7.6041
_cell_length_b 7.6041
_cell_length_c 7.6041
_cell_angle_alpha 90.00
_cell_angle_beta 90.00
_cell_angle_gamma 90.00
_space_group_name_H-M_alt 'F -4 3 m'
_space_group_IT_number 216
_space_group_name_Hall 'F -4 2 3'
loop_
_atom_site_label
_atom_site_type_symbol
_atom_site_fract_x
_atom_site_fract_y
_atom_site_fract_z
Tb1 Tb 0.0000 0.0000 0.0000
Gd1 Gd 0.0000 0.0000 0.5000
Hg1 Hg 0.2500 0.2500 0.2500
Pb1 Pb 0.2500 0.2500 0.7500



# GdTiHgPb PBE optimized geometry
# Fermi-level density of states = 1.184 states/eV per atom
# Spin magnetization = 2.299 μB per atom
# Crystal system = cubic
# Mass density = 10.508 Mg/m³
# VASP energy = -6.6481 eV/atom
data_GdTiHgPb
_cell_length_a 7.2901
_cell_length_b 7.2901
_cell_length_c 7.2901
_cell_angle_alpha 90.00
_cell_angle_beta 90.00
_cell_angle_gamma 90.00
_space_group_name_H-M_alt 'F -4 3 m'
_space_group_IT_number 216
_space_group_name_Hall 'F -4 2 3'
loop_
_atom_site_label
_atom_site_type_symbol
_atom_site_fract_x
_atom_site_fract_y
_atom_site_fract_z
Gd1 Gd 0.0000 0.0000 0.0000
Ti1 Ti 0.0000 0.0000 0.5000
Hg1 Hg 0.2500 0.2500 0.7500
Pb1 Pb 0.2500 0.2500 0.2500



# GdTlHgPb PBE optimized geometry
# Fermi-level density of states = 1.081 states/eV per atom
# Spin magnetization = 1.767 μB per atom
# Crystal system = cubic
# Mass density = 11.369 Mg/m³
# VASP energy = -5.3303 eV/atom
data_GdTlHgPb
_cell_length_a 7.6603
_cell_length_b 7.6603
_cell_length_c 7.6603
_cell_angle_alpha 90.00
_cell_angle_beta 90.00
_cell_angle_gamma 90.00
_space_group_name_H-M_alt 'F -4 3 m'
_space_group_IT_number 216
_space_group_name_Hall 'F -4 2 3'
loop_
_atom_site_label
_atom_site_type_symbol
_atom_site_fract_x
_atom_site_fract_y
_atom_site_fract_z
Gd1 Gd 0.0000 0.0000 0.0000
Tl1 Tl 0.2500 0.2500 0.2500
Hg1 Hg 0.2500 0.2500 0.7500
Pb1 Pb 0.0000 0.0000 0.5000



# GdTmHgPb PBE optimized geometry
# Fermi-level density of states = 0.803 states/eV per atom
# Spin magnetization = 1.895 μB per atom
# Crystal system = cubic
# Mass density = 11.344 Mg/m³
# VASP energy = -6.0933 eV/atom
data_GdTmHgPb
_cell_length_a 7.5465
_cell_length_b 7.5465
_cell_length_c 7.5465
_cell_angle_alpha 90.00
_cell_angle_beta 90.00
_cell_angle_gamma 90.00
_space_group_name_H-M_alt 'F -4 3 m'
_space_group_IT_number 216
_space_group_name_Hall 'F -4 2 3'
loop_
_atom_site_label
_atom_site_type_symbol
_atom_site_fract_x
_atom_site_fract_y
_atom_site_fract_z
Gd1 Gd 0.0000 0.0000 0.0000
Tm1 Tm 0.0000 0.0000 0.5000
Hg1 Hg 0.2500 0.2500 0.2500
Pb1 Pb 0.2500 0.2500 0.7500



Among the records above, which one has the highest spin magnetization?
GdTiHgPb



Look up the Fermi-level density of states of the third one.
1.081 states/eV per atom